Computed, not measured: a geometry-optimized Lu2Sc4Co3C3 structure at the PBE-GGA level of DFT.

abc: 9.909 5.718 13.698
angles: 90.00 104.49 90.00
Space group C2/c (No. 15)
Asymmetric unit:
Lu  0.044  0.082  0.388
Sc  0.114  0.413  0.590
Sc  0.220  0.418  0.910
Co  0.000  0.417  0.750
Co  0.246  0.162  0.750
C  0.083  0.248  0.000
C  0.250  0.250  0.500

Results
DFT total energy in eV per atom: -7.180

***

Computed, not measured: a geometry-optimized Lu4Ta2Co3C3 structure at the PBE-GGA level of DFT.

abc: 9.775 5.675 14.422
angles: 90.00 101.93 90.00
Space group C2/c (No. 15)
Asymmetric unit:
Lu  0.114  0.073  0.100
Lu  0.215  0.088  0.399
Ta  0.063  0.412  0.917
Co  0.000  0.091  0.250
Co  0.244  0.336  0.250
C  0.073  0.281  0.500
C  0.250  0.250  0.000

Results
DFT total energy in eV per atom: -7.591

***

Computed, not measured: a geometry-optimized Lu2Ta4Co3C3 structure at the PBE-GGA level of DFT.

abc: 9.435 5.451 13.506
angles: 90.00 104.01 90.00
Space group C2/c (No. 15)
Asymmetric unit:
Lu  0.039  0.083  0.375
Ta  0.114  0.409  0.591
Ta  0.223  0.419  0.909
Co  0.000  0.423  0.750
Co  0.246  0.160  0.751
C  0.085  0.255  0.000
C  0.250  0.250  0.500

Results
DFT total energy in eV per atom: -9.235

***

Computed, not measured: a geometry-optimized Lu4TlCoC2 structure at the PBE-GGA level of DFT.

abc: 3.4843 3.4843 14.6069
angles: 90.00 90.00 120.00
Space group P-6m2 (No. 187)
Asymmetric unit:
Lu  0.0000  0.0000  0.1337
Lu  0.6667  0.3333  0.3130
Tl  0.0000  0.0000  0.5000
Co  0.6667  0.3333  0.0000
C  0.3333  0.6667  0.2286

Results
DFT total energy in eV per atom: -6.007